1.
# VPdSe2 (GGA-PBE, relaxed)
data_VPdSe2
_symmetry_space_group_name_H-M 'R 3 m'
_symmetry_Int_Tables_number 160
_symmetry_space_group_name_Hall 'R 3 -2"'
_cell_length_a 3.4657
_cell_length_b 3.4657
_cell_length_c 20.5731
_cell_angle_alpha 90.00
_cell_angle_beta 90.00
_cell_angle_gamma 120.00
loop_
_atom_site_label
_atom_site_fract_x
_atom_site_fract_y
_atom_site_fract_z
_atom_site_occupancy
V1 0.0000 0.0000 0.0000 1
Pd1 0.0000 0.0000 0.1479 1
Se1 0.0000 0.0000 0.5884 1
Se2 0.0000 0.0000 0.7369 1
# formation energy (no corrections): -36.5 kJ per mole of atoms
# spin magnetization: 0.0 Bohr magnetons per cell


2.
# CsNaZrSe3 (GGA-PBE, relaxed)
data_CsNaZrSe3
_symmetry_space_group_name_H-M 'C m c m'
_symmetry_Int_Tables_number 63
_symmetry_space_group_name_Hall '-C 2c 2'
_cell_length_a 7.7104
_cell_length_b 14.3589
_cell_length_c 7.3688
_cell_angle_alpha 90.00
_cell_angle_beta 90.00
_cell_angle_gamma 90.00
loop_
_atom_site_label
_atom_site_fract_x
_atom_site_fract_y
_atom_site_fract_z
_atom_site_occupancy
Cs1 0.0000 0.2420 0.2500 1
Na1 0.0000 0.0735 0.7500 1
Zr1 0.0000 0.4464 0.7500 1
Se1 0.0000 0.2735 0.7500 1
Se2 0.2333 0.5000 0.0000 1
# formation energy (no corrections): -128.1 kJ per mole of atoms
# spin magnetization: 0.0 Bohr magnetons per cell


3.
# Tm4PdAu3 (GGA-PBE, relaxed)
data_Tm4PdAu3
_symmetry_space_group_name_H-M 'P m m 2'
_symmetry_Int_Tables_number 25
_cell_length_a 3.6690
_cell_length_b 4.6311
_cell_length_c 10.7037
_cell_angle_alpha 90.00
_cell_angle_beta 90.00
_cell_angle_gamma 90.00
loop_
_symmetry_equiv_pos_as_xyz
'x,y,z'
'-x,-y,z'
'-x,y,z'
'x,-y,z'
loop_
_atom_site_label
_atom_site_fract_x
_atom_site_fract_y
_atom_site_fract_z
_atom_site_occupancy
Tm1 0.0000 0.0000 0.0000 1
Tm2 0.0000 0.5000 0.2713 1
Tm3 0.5000 0.0000 0.4890 1
Tm4 0.5000 0.5000 0.7740 1
Pd1 0.5000 0.0000 0.2219 1
Au1 0.0000 0.0000 0.7241 1
Au2 0.0000 0.5000 0.5444 1
Au3 0.5000 0.5000 0.0477 1
# E_tot: -5.04 eV per atom
# spin magnetization: 0.0 Bohr magnetons per cell